## P
CsLiHfSe3 | PBE-GGA | relaxed

Lattice parameters (Å, degrees): 9.230 4.007 10.207 90.00 113.30 90.00
Space group P2_1/m (No. 11)
Unique sites:
Cs (0.235, 0.250, 0.270) x2
Li (0.077, 0.250, 0.602) x2
Hf (0.320, 0.750, 0.845) x2
Se (0.132, 0.250, 0.864) x2
Se (0.222, 0.750, 0.569) x2
Se (0.471, 0.750, 0.138) x2

Calculated values
For the calculated density, the calculation gives 5.3 Mg/m³.

---

## Q
CsLiHfSe3 | PBE-GGA | relaxed

Lattice parameters (Å, degrees): 3.966 15.804 10.451 90.00 90.00 90.00
Space group Cmcm (No. 63)
Unique sites:
Cs (0.000, 0.241, 0.250) x4
Li (0.000, 0.042, 0.750) x4
Hf (0.000, 0.500, 0.000) x4
Se (0.000, 0.114, 0.541) x8
Se (0.000, 0.450, 0.750) x4

Calculated values
For the calculated density, the calculation gives 5.6 Mg/m³.

---

It is P that is the most stable of them.

---

## P
CsLuHfTe3 | PBE-GGA | relaxed

Lattice parameters (Å, degrees): 4.392 17.661 11.418 90.00 90.00 90.00
Space group Cmcm (No. 63)
Unique sites:
Cs (0.000, 0.247, 0.250) x4
Lu (0.000, 0.500, 0.000) x4
Hf (0.000, 0.034, 0.750) x4
Te (0.000, 0.119, 0.546) x8
Te (0.000, 0.433, 0.750) x4

Calculated values
For the calculated density, the calculation gives 6.5 Mg/m³.

---

## Q
CsLuHfTe3 | PBE-GGA | relaxed

Lattice parameters (Å, degrees): 4.364 17.755 11.270 90.00 90.00 90.00
Space group Cmcm (No. 63)
Unique sites:
Cs (0.000, 0.249, 0.250) x4
Lu (0.000, 0.465, 0.750) x4
Hf (0.000, 0.000, 0.000) x4
Te (0.000, 0.070, 0.750) x4
Te (0.000, 0.384, 0.531) x8

Calculated values
For the calculated density, the calculation gives 6.6 Mg/m³.

---

It is P that is the most stable of them.

---

## P
CsHfMgSe3 | PBE-GGA | relaxed

Lattice parameters (Å, degrees): 9.456 3.999 10.405 90.00 114.54 90.00
Space group P2_1/m (No. 11)
Unique sites:
Cs (0.221, 0.250, 0.250) x2
Hf (0.353, 0.750, 0.882) x2
Mg (0.087, 0.250, 0.620) x2
Se (0.144, 0.250, 0.877) x2
Se (0.212, 0.750, 0.558) x2
Se (0.478, 0.750, 0.161) x2

Calculated values
For the calculated density, the calculation gives 5.3 Mg/m³.

---

## Q
CsHfMgSe3 | PBE-GGA | relaxed

Lattice parameters (Å, degrees): 4.029 16.220 10.594 90.00 90.00 90.00
Space group Cmcm (No. 63)
Unique sites:
Cs (0.000, 0.242, 0.250) x4
Hf (0.000, 0.500, 0.000) x4
Mg (0.000, 0.042, 0.750) x4
Se (0.000, 0.115, 0.541) x8
Se (0.000, 0.447, 0.750) x4

Calculated values
For the calculated density, the calculation gives 5.5 Mg/m³.

---

It is P that is the most stable of them.

---

## P
CsNaHf | PBE-GGA | relaxed

Lattice parameters (Å, degrees): 8.026 8.026 8.026 90.00 90.00 90.00
Space group F-43m (No. 216)
Unique sites:
Cs (0.000, 0.000, 0.000) x4
Na (0.250, 0.250, 0.250) x4
Hf (0.250, 0.250, 0.750) x4

Calculated values
For the calculated density, the calculation gives 4.3 Mg/m³.

---

## Q
CsNaHf | PBE-GGA | relaxed

Lattice parameters (Å, degrees): 8.346 8.346 8.346 90.00 90.00 90.00
Space group F-43m (No. 216)
Unique sites:
Cs (0.000, 0.000, 0.000) x4
Na (0.000, 0.000, 0.500) x4
Hf (0.250, 0.250, 0.250) x4

Calculated values
For the calculated density, the calculation gives 3.8 Mg/m³.

---

It is Q that is the most stable of them.

---

## P
CsHfNb | PBE-GGA | relaxed

Lattice parameters (Å, degrees): 6.806 6.806 6.806 90.00 90.00 90.00
Space group F-43m (No. 216)
Unique sites:
Cs (0.000, 0.000, 0.000) x4
Hf (0.250, 0.250, 0.750) x4
Nb (0.250, 0.250, 0.250) x4

Calculated values
For the calculated density, the calculation gives 8.5 Mg/m³.

---

## Q
CsHfNb | PBE-GGA | relaxed

Lattice parameters (Å, degrees): 7.110 7.110 7.110 90.00 90.00 90.00
Space group F-43m (No. 216)
Unique sites:
Cs (0.000, 0.000, 0.000) x4
Hf (0.000, 0.000, 0.500) x4
Nb (0.250, 0.250, 0.250) x4

Calculated values
For the calculated density, the calculation gives 7.5 Mg/m³.

---

It is Q that is the most stable of them.

---

## P
CsHfNi | PBE-GGA | relaxed

Lattice parameters (Å, degrees): 6.870 6.870 6.870 90.00 90.00 90.00
Space group F-43m (No. 216)
Unique sites:
Cs (0.000, 0.000, 0.000) x4
Hf (0.000, 0.000, 0.500) x4
Ni (0.250, 0.250, 0.250) x4

Calculated values
For the calculated density, the calculation gives 7.6 Mg/m³.

---

## Q
CsHfNi | PBE-GGA | relaxed

Lattice parameters (Å, degrees): 6.679 6.679 6.679 90.00 90.00 90.00
Space group F-43m (No. 216)
Unique sites:
Cs (0.000, 0.000, 0.000) x4
Hf (0.250, 0.250, 0.250) x4
Ni (0.000, 0.000, 0.500) x4

Calculated values
For the calculated density, the calculation gives 8.3 Mg/m³.

---

It is P that is the most stable of them.

---

## P
CsHfPd | PBE-GGA | relaxed

Lattice parameters (Å, degrees): 7.139 7.139 7.139 90.00 90.00 90.00
Space group F-43m (No. 216)
Unique sites:
Cs (0.000, 0.000, 0.000) x4
Hf (0.000, 0.000, 0.500) x4
Pd (0.250, 0.250, 0.250) x4

Calculated values
For the calculated density, the calculation gives 7.6 Mg/m³.

---

## Q
CsHfPd | PBE-GGA | relaxed

Lattice parameters (Å, degrees): 6.808 6.808 6.808 90.00 90.00 90.00
Space group F-43m (No. 216)
Unique sites:
Cs (0.000, 0.000, 0.000) x4
Hf (0.250, 0.250, 0.750) x4
Pd (0.250, 0.250, 0.250) x4

Calculated values
For the calculated density, the calculation gives 8.8 Mg/m³.

---

It is P that is the most stable of them.

---

## P
CsHfTlS3 | PBE-GGA | relaxed

Lattice parameters (Å, degrees): 16.242 3.807 11.638 90.00 90.00 90.00
Space group Pnma (No. 62)
Unique sites:
Cs (0.234, 0.250, 0.112) x4
Hf (0.064, 0.750, 0.377) x4
Tl (0.071, 0.750, 0.863) x4
S (0.047, 0.750, 0.607) x4
S (0.058, 0.750, 0.165) x4
S (0.167, 0.250, 0.395) x4

Calculated values
For the calculated density, the calculation gives 5.6 Mg/m³.

---

## Q
CsHfTlS3 | PBE-GGA | relaxed

Lattice parameters (Å, degrees): 8.138 3.838 10.876 90.00 97.21 90.00
Space group P2_1/m (No. 11)
Unique sites:
Cs (0.246, 0.250, 0.471) x2
Hf (0.414, 0.750, 0.843) x2
Tl (0.031, 0.750, 0.142) x2
S (0.143, 0.750, 0.714) x2
S (0.323, 0.250, 0.984) x2
S (0.458, 0.750, 0.270) x2

Calculated values
For the calculated density, the calculation gives 6.0 Mg/m³.

---

It is P that is the most stable of them.

---

## P
CsSrHf | PBE-GGA | relaxed

Lattice parameters (Å, degrees): 8.713 8.713 8.713 90.00 90.00 90.00
Space group F-43m (No. 216)
Unique sites:
Cs (0.000, 0.000, 0.000) x4
Sr (0.000, 0.000, 0.500) x4
Hf (0.250, 0.250, 0.250) x4

Calculated values
For the calculated density, the calculation gives 4.0 Mg/m³.

---

## Q
CsSrHf | PBE-GGA | relaxed

Lattice parameters (Å, degrees): 7.945 7.945 7.945 90.00 90.00 90.00
Space group F-43m (No. 216)
Unique sites:
Cs (0.000, 0.000, 0.000) x4
Sr (0.250, 0.250, 0.250) x4
Hf (0.250, 0.250, 0.750) x4

Calculated values
For the calculated density, the calculation gives 5.3 Mg/m³.

---

It is P that is the most stable of them.

---

## P
CsHfTa | PBE-GGA | relaxed

Lattice parameters (Å, degrees): 7.111 7.111 7.111 90.00 90.00 90.00
Space group F-43m (No. 216)
Unique sites:
Cs (0.000, 0.000, 0.000) x4
Hf (0.000, 0.000, 0.500) x4
Ta (0.250, 0.250, 0.250) x4

Calculated values
For the calculated density, the calculation gives 9.1 Mg/m³.

---

## Q
CsHfTa | PBE-GGA | relaxed

Lattice parameters (Å, degrees): 6.812 6.812 6.812 90.00 90.00 90.00
Space group F-43m (No. 216)
Unique sites:
Cs (0.000, 0.000, 0.000) x4
Hf (0.250, 0.250, 0.750) x4
Ta (0.250, 0.250, 0.250) x4

Calculated values
For the calculated density, the calculation gives 10.3 Mg/m³.

---

It is P that is the most stable of them.

---

## P
CsHfTc | PBE-GGA | relaxed

Lattice parameters (Å, degrees): 6.834 6.834 6.834 90.00 90.00 90.00
Space group F-43m (No. 216)
Unique sites:
Cs (0.000, 0.000, 0.000) x4
Hf (0.250, 0.250, 0.750) x4
Tc (0.000, 0.000, 0.500) x4

Calculated values
For the calculated density, the calculation gives 8.5 Mg/m³.

---

## Q
CsHfTc | PBE-GGA | relaxed

Lattice parameters (Å, degrees): 6.602 6.602 6.602 90.00 90.00 90.00
Space group F-43m (No. 216)
Unique sites:
Cs (0.000, 0.000, 0.000) x4
Hf (0.250, 0.250, 0.750) x4
Tc (0.250, 0.250, 0.250) x4

Calculated values
For the calculated density, the calculation gives 9.4 Mg/m³.

---

It is P that is the most stable of them.

---

## P
CsHfTh | PBE-GGA | relaxed

Lattice parameters (Å, degrees): 7.707 7.707 7.707 90.00 90.00 90.00
Space group F-43m (No. 216)
Unique sites:
Cs (0.000, 0.000, 0.000) x4
Hf (0.250, 0.250, 0.250) x4
Th (0.000, 0.000, 0.500) x4

Calculated values
For the calculated density, the calculation gives 7.9 Mg/m³.

---

## Q
CsHfTh | PBE-GGA | relaxed

Lattice parameters (Å, degrees): 7.429 7.429 7.429 90.00 90.00 90.00
Space group F-43m (No. 216)
Unique sites:
Cs (0.000, 0.000, 0.000) x4
Hf (0.250, 0.250, 0.750) x4
Th (0.250, 0.250, 0.250) x4

Calculated values
For the calculated density, the calculation gives 8.8 Mg/m³.

---

It is P that is the most stable of them.